Record 1
Mg2Cd2Hg: optimized geometry, PBE-GGA.

a b c (Å): 4.075 4.075 14.921
angles (deg): 90.00 90.00 90.00
Space group I4/mmm (No. 139)
Symmetry-distinct sites (fractional):
Mg (0.000, 0.000, 0.097) [4 per cell]
Cd (0.000, 0.500, 0.250) [4 per cell]
Hg (0.000, 0.000, 0.500) [2 per cell]

Record 2
Mg12Cd6Hg: optimized geometry, PBE-GGA.

a b c (Å): 10.5429 10.5429 13.3480
angles (deg): 90.00 90.00 120.00
Space group R-3 (No. 148, hexagonal axes)
Symmetry-distinct sites (fractional):
Mg (0.0347, 0.8508, 0.3148) [18 per cell]
Mg (0.0614, 0.2188, 0.9147) [18 per cell]
Cd (0.0169, 0.5878, 0.2060) [18 per cell]
Hg (0.0000, 0.0000, 0.5000) [3 per cell]

Record 3
MgCd8Hg6: optimized geometry, PBE-GGA.

a b c (Å): 8.4733 8.4733 17.4163
angles (deg): 90.00 90.00 120.00
Space group R-3 (No. 148, hexagonal axes)
Symmetry-distinct sites (fractional):
Mg (0.0000, 0.0000, 0.0000) [3 per cell]
Cd (0.0000, 0.0000, 0.4179) [6 per cell]
Cd (0.0764, 0.5384, 0.8151) [18 per cell]
Hg (0.0653, 0.5318, 0.3762) [18 per cell]

Record 4
Mg2Cd2Hg: optimized geometry, PBE-GGA.

a b c (Å): 4.545 3.236 7.958
angles (deg): 90.00 106.53 90.00
Space group P2/m (No. 10)
Symmetry-distinct sites (fractional):
Mg (0.105, 0.000, 0.209) [2 per cell]
Cd (0.306, 0.500, 0.611) [2 per cell]
Hg (0.500, 0.500, 0.000) [1 per cell]

| no. | energy relative to the elements (kJ/mol of atoms) | energy above the most stable polymorph in this dataset (eV per atom) |
| --- | --- | --- |
| 1 | 2 | 0.1254 |
| 2 | -4 | 0.0000 |
| 3 | 1 | 0.0000 |
| 4 | -7 | 0.0310 |